Density functional theory data (GGA+U) for an optimized crystal structure of SrMg14MnO16.

Lattice parameters (Å, degrees): 4.4084 8.7017 8.6842 90.00 90.00 90.00
Closest atoms and distances in Å follow each position.
Atoms (fractional coordinates):
Sr (0.0000, 0.5000, 0.0000)  6 O 2.20-2.36
Mg (0.0000, 0.0000, 0.5000)  6 O 2.07-2.20
Mg (0.0000, 0.5000, 0.5000)  6 O 1.98-2.20
Mg (0.5000, 0.7583, 0.0000)  6 O 2.10-2.25
Mg (0.5000, 0.2417, 0.0000)  6 O 2.10-2.25
Mg (0.5000, 0.7513, 0.5000)  6 O 2.16-2.20
Mg (0.5000, 0.2487, 0.5000)  6 O 2.16-2.20
Mg (0.5000, 0.0000, 0.7467)  6 O 2.14-2.21
Mg (0.5000, 0.5000, 0.7402)  6 O 2.09-2.26
Mg (0.5000, 0.0000, 0.2533)  6 O 2.14-2.21
Mg (0.5000, 0.5000, 0.2598)  6 O 2.09-2.26
Mg (0.0000, 0.7550, 0.7426)  6 O 2.11-2.24
Mg (0.0000, 0.2450, 0.7426)  6 O 2.11-2.24
Mg (0.0000, 0.7550, 0.2574)  6 O 2.11-2.24
Mg (0.0000, 0.2450, 0.2574)  6 O 2.11-2.24
Mn (0.0000, 0.0000, 0.0000)  6 O 2.04-2.28
O (0.0000, 0.0000, 0.7379)  5 Mg 2.07-2.21, 1 Mn 2.28
O (0.0000, 0.5000, 0.7281)  3 Mg 1.98-2.21
O (0.0000, 0.0000, 0.2621)  5 Mg 2.07-2.21, 1 Mn 2.28
O (0.0000, 0.5000, 0.2719)  3 Mg 1.98-2.21
O (0.5000, 0.7505, 0.7499)  6 Mg 2.17-2.21
O (0.5000, 0.2495, 0.7499)  6 Mg 2.17-2.21
O (0.5000, 0.7505, 0.2501)  6 Mg 2.17-2.21
O (0.5000, 0.2495, 0.2501)  6 Mg 2.17-2.21
O (0.5000, 0.0000, 0.0000)  4 Mg 2.10-2.20, 2 Mn 2.20
O (0.5000, 0.5000, 0.0000)  2 Sr 2.20, 4 Mg 2.25-2.26
O (0.5000, 0.0000, 0.5000)  6 Mg 2.14-2.20
O (0.5000, 0.5000, 0.5000)  6 Mg 2.09-2.20
O (0.0000, 0.7658, 0.0000)  1 Mn 2.04, 4 Mg 2.21-2.24
O (0.0000, 0.2342, 0.0000)  1 Mn 2.04, 4 Mg 2.21-2.24
O (0.0000, 0.7532, 0.5000)  6 Mg 2.11-2.20
O (0.0000, 0.2468, 0.5000)  6 Mg 2.11-2.20

Summary:
energy relative to the lowest polymorph listed for this composition	5	meV/atom
total DFT energy (no corrections)	-6.01	eV/atom